[1]
A plane-wave DFT calculation with PBE-GGA was carried out for a relaxed structure of KIrW2.

It has space group Cmmm (No. 65), with a = 5.476 Å, b = 9.656 Å, c = 2.698 Å, α = 90.00°, β = 90.00° and γ = 90.00°. The asymmetric unit holds K at (0.000, 0.000, 0.000), Ir at (0.000, 0.500, 0.000) and W at (0.250, 0.250, 0.500).

The value obtained for the excess energy over the best structure of this formula in the dataset is 3.082 eV per formula unit. The calculation puts the spin magnetization at 0.00 μB per atom. The calculation puts the formation energy at 5.70 eV per formula unit. The total energy comes out at -60.333 eV for the cell shown. As for the crystal system: orthorhombic. As for the density: 13.94 Mg/m³.



[2]
A plane-wave DFT calculation with PBE-GGA was carried out for a relaxed structure of GaTcN2.

It has space group R-3m (No. 166, hexagonal axes), with a = 3.0213 Å, b = 3.0213 Å, c = 18.0184 Å, α = 90.00°, β = 90.00° and γ = 120.00°. The asymmetric unit holds Ga at (0.0000, 0.0000, 0.0000), Tc at (0.0000, 0.0000, 0.5000) and N at (0.0000, 0.0000, 0.3960).

The calculation puts the spin magnetization at 0.00 μB per atom. For the energy relative to the elements, uncorrected, the calculation gives 453 meV/atom. The total energy comes out at -84.693 eV for the cell shown. As for the crystal system: trigonal. As for the density: 6.85 Mg/m³.



[3]
A plane-wave DFT calculation with PBE-GGA was carried out for a relaxed structure of V5FeCo2Ru2.

It has space group P4/mbm (No. 127), with a = 9.262 Å, b = 9.262 Å, c = 3.017 Å, α = 90.00°, β = 90.00° and γ = 90.00°. The asymmetric unit holds V at (0.000, 0.500, 0.000), V at (0.071, 0.191, 0.000), Fe at (0.000, 0.000, 0.500), Co at (0.132, 0.368, 0.500) and Ru at (0.166, 0.666, 0.500).

The calculation puts the spin magnetization at 0.00 μB per atom. The calculation puts the formation energy at 0.65 eV per formula unit. The total energy comes out at -172.338 eV for the cell shown. As for the crystal system: tetragonal. As for the density: 8.09 Mg/m³.



[4]
A plane-wave DFT calculation with PBE-GGA was carried out for a relaxed structure of EuTlAs.

It has space group F-43m (No. 216), with a = 7.309 Å, b = 7.309 Å, c = 7.309 Å, α = 90.00°, β = 90.00° and γ = 90.00°. The asymmetric unit holds Eu at (0.000, 0.000, 0.000), Tl at (0.000, 0.000, 0.500) and As at (0.250, 0.250, 0.750).

The calculation puts the spin magnetization at 2.36 μB per atom. The calculation puts the formation energy at -1.55 eV per formula unit. The total energy comes out at -75.360 eV for the cell shown. As for the crystal system: cubic. As for the density: 7.34 Mg/m³.



[5]
A plane-wave DFT calculation with PBE-GGA was carried out for a relaxed structure of AcSmErHg.

It has space group F-43m (No. 216), with a = 7.915 Å, b = 7.915 Å, c = 7.915 Å, α = 90.00°, β = 90.00° and γ = 90.00°. The asymmetric unit holds Ac at (0.000, 0.000, 0.000), Sm at (0.250, 0.250, 0.750), Er at (0.250, 0.250, 0.250) and Hg at (0.000, 0.000, 0.500).

The calculation puts the spin magnetization at 0.00 μB per atom. The calculation puts the formation energy at 0.19 eV per formula unit. The total energy comes out at -54.016 eV for the cell shown. As for the crystal system: cubic. As for the density: 9.98 Mg/m³.



[6]
A plane-wave DFT calculation with PBE-GGA was carried out for a relaxed structure of TbAlPtRh.

It has space group F-43m (No. 216), with a = 6.563 Å, b = 6.563 Å, c = 6.563 Å, α = 90.00°, β = 90.00° and γ = 90.00°. The asymmetric unit holds Tb at (0.000, 0.000, 0.000), Al at (0.000, 0.000, 0.500), Pt at (0.250, 0.250, 0.250) and Rh at (0.250, 0.250, 0.750).

The calculation puts the spin magnetization at 0.00 μB per atom. The calculation puts the formation energy at -3.63 eV per formula unit. The total energy comes out at -101.597 eV for the cell shown. As for the crystal system: cubic. As for the density: 11.37 Mg/m³.



[7]
A plane-wave DFT calculation with PBE-GGA was carried out for a relaxed structure of K2NaPbCl6.

It has space group P2_1/c (No. 14), with a = 7.382 Å, b = 7.750 Å, c = 12.848 Å, α = 90.00°, β = 124.57° and γ = 90.00°. The asymmetric unit holds K at (0.223, 0.074, 0.248), Na at (0.000, 0.000, 0.500), Pb at (0.500, 0.000, 0.000), Cl at (0.146, 0.195, 0.946), Cl at (0.254, 0.705, 0.943) and Cl at (0.363, 0.034, 0.753).

The calculation puts the spin magnetization at 0.00 μB per atom. For the energy relative to the elements, uncorrected, the calculation gives -1480 meV/atom. The total energy comes out at -66.197 eV for the cell shown. As for the crystal system: monoclinic. As for the density: 2.86 Mg/m³.



[8]
A plane-wave DFT calculation with PBE-GGA was carried out for a relaxed structure of Al2WAu.

It has space group I-4m2 (No. 119), with a = 3.737 Å, b = 3.737 Å, c = 9.030 Å, α = 90.00°, β = 90.00° and γ = 90.00°. The asymmetric unit holds Al at (0.000, 0.000, 0.000), Al at (0.000, 0.500, 0.250), W at (0.000, 0.000, 0.500) and Au at (0.000, 0.500, 0.750).

The value obtained for the excess energy over the best structure of this formula in the dataset is 0.281 eV per formula unit. The calculation puts the spin magnetization at 0.00 μB per atom. The calculation puts the formation energy at -0.23 eV per formula unit. The total energy comes out at -47.889 eV for the cell shown. As for the crystal system: tetragonal. As for the density: 11.45 Mg/m³.



Q: The highest density belongs to which entry?
A: KIrW2



Q: What is the formula in the seventh record?
A: K2NaPbCl6



Q: Number 8 is which compound?
A: Al2WAu



Q: Among the records above, which one has the highest density?
A: KIrW2